#i
A plane-wave DFT calculation with GGA-PBE was carried out for a relaxed LaNbW3 crystal.

extended XYZ file:
```
5
Lattice="-3.3382 1.3086 3.3482 -3.3072 -2.9088 -2.1605 1.4090 -3.7273 2.8615" Properties=species:S:1:pos:R:3 pbc="T T T"
Nb 0.0000 0.0000 0.0000
W -1.6536 -1.4544 -1.0802
W 0.7045 -1.8637 1.4308
W -1.6691 0.6543 1.6741
La -2.6182 -2.6638 2.0247
```

Summary:
magnetic moment = 1.2 μB per formula unit
density = 11.0 g/cm3

#ii
A plane-wave DFT calculation with GGA-PBE was carried out for a relaxed LaNbW3 crystal.

extended XYZ file:
```
5
Lattice="-0.2981 0.7099 -4.7052 4.2084 -2.1609 -0.5926 -2.2207 -4.1902 -0.4915" Properties=species:S:1:pos:R:3 pbc="T T T"
Nb 0.8448 -2.8206 -2.8946
W 2.1042 -1.0804 -0.2963
W -1.1104 -2.0951 -0.2457
W -0.1491 0.3549 -2.3526
La 0.0000 0.0000 0.0000
```

Summary:
magnetic moment = 0.0 μB per formula unit
density = 12.0 g/cm3

Bottom line: #i, by a margin of 1.143 eV/atom.

#i
A plane-wave DFT calculation with GGA-PBE was carried out for a relaxed La3YNb crystal.

extended XYZ file:
```
5
Lattice="5.6551 0.0000 0.0000 0.0000 5.6551 0.0000 0.0000 0.0000 5.6551" Properties=species:S:1:pos:R:3 pbc="T T T"
Y 0.0000 0.0000 0.0000
Nb 2.8275 2.8275 2.8275
La 0.0000 2.8275 0.0000
La 0.0000 0.0000 2.8275
La 2.8275 0.0000 0.0000
```

Summary:
magnetic moment = 0.0 μB per formula unit
density = 5.5 g/cm3

#ii
A plane-wave DFT calculation with GGA-PBE was carried out for a relaxed La3YNb crystal.

extended XYZ file:
```
5
Lattice="5.6543 0.0000 0.0000 0.0000 5.6543 0.0000 0.0000 0.0000 5.6543" Properties=species:S:1:pos:R:3 pbc="T T T"
Y 2.8271 2.8271 2.8271
Nb 0.0000 0.0000 0.0000
La 0.0000 2.8271 0.0000
La 0.0000 0.0000 2.8271
La 2.8271 0.0000 0.0000
```

Summary:
magnetic moment = 0.0 μB per formula unit
density = 5.5 g/cm3

Bottom line: #ii, by a margin of 0.983 eV/atom.

#i
A plane-wave DFT calculation with GGA-PBE was carried out for a relaxed LaY2Nb crystal.

extended XYZ file:
```
8
Lattice="4.5976 0.0000 0.0000 0.0000 4.5976 0.0000 2.2988 2.2988 11.0796" Properties=species:S:1:pos:R:3 pbc="T T T"
Y 3.3575 1.1494 2.7699
Y 1.2401 3.4482 2.7699
Y 3.4482 3.5389 8.3097
Y 5.7470 5.6563 8.3097
Nb 2.2988 2.2988 0.0000
Nb 2.2988 4.5976 5.5398
La 0.0000 0.0000 0.0000
La 4.5976 2.2988 5.5398
```

Summary:
magnetic moment = 0.0 μB per formula unit
density = 5.8 g/cm3

#ii
A plane-wave DFT calculation with GGA-PBE was carried out for a relaxed LaY2Nb crystal.

extended XYZ file:
```
4
Lattice="3.3399 0.0000 0.0000 1.6700 2.8924 0.0000 1.6700 0.9641 11.8936" Properties=species:S:1:pos:R:3 pbc="T T T"
Y 1.6700 0.9641 8.9979
Y 5.0099 2.8924 2.8958
Nb 0.0000 0.0000 0.0000
La 3.3399 1.9283 5.9468
```

Summary:
magnetic moment = 0.7 μB per formula unit
density = 5.9 g/cm3

Bottom line: #ii, by a margin of 0.088 eV/atom.

#i
A plane-wave DFT calculation with GGA-PBE was carried out for a relaxed LaY3Nb crystal.

extended XYZ file:
```
5
Lattice="5.4363 0.0000 0.0000 0.0000 5.4363 0.0000 0.0000 0.0000 5.4363" Properties=species:S:1:pos:R:3 pbc="T T T"
Y 0.0000 2.7182 0.0000
Y 0.0000 0.0000 2.7182
Y 2.7182 0.0000 0.0000
Nb 2.7182 2.7182 2.7182
La 0.0000 0.0000 0.0000
```

Summary:
magnetic moment = 0.0 μB per formula unit
density = 5.2 g/cm3

#ii
A plane-wave DFT calculation with GGA-PBE was carried out for a relaxed LaY3Nb crystal.

extended XYZ file:
```
5
Lattice="5.5442 0.0000 0.0000 0.0000 5.5442 0.0000 0.0000 0.0000 5.5442" Properties=species:S:1:pos:R:3 pbc="T T T"
Y 0.0000 2.7721 0.0000
Y 0.0000 0.0000 2.7721
Y 2.7721 0.0000 0.0000
Nb 0.0000 0.0000 0.0000
La 2.7721 2.7721 2.7721
```

Summary:
magnetic moment = 0.0 μB per formula unit
density = 4.9 g/cm3

Bottom line: #ii, by a margin of 0.957 eV/atom.

#i
A plane-wave DFT calculation with GGA-PBE was carried out for a relaxed LaNbZn3 crystal.

extended XYZ file:
```
5
Lattice="-1.8337 1.3360 -4.4225 -1.6748 -4.6267 -0.7033 -4.3057 1.2307 2.1570" Properties=species:S:1:pos:R:3 pbc="T T T"
Nb 0.0000 0.0000 0.0000
Zn -0.8374 -2.3134 -0.3517
Zn -2.1528 0.6154 1.0785
Zn -0.9168 0.6680 -2.2113
La -3.9071 -1.0300 -1.4844
```

Summary:
magnetic moment = 0.0 μB per formula unit
density = 5.8 g/cm3

#ii
A plane-wave DFT calculation with GGA-PBE was carried out for a relaxed LaNbZn3 crystal.

extended XYZ file:
```
5
Lattice="5.2111 0.0000 0.0000 0.0000 5.2111 0.0000 0.0000 0.0000 5.2111" Properties=species:S:1:pos:R:3 pbc="T T T"
Nb 2.6055 2.6055 2.6055
Zn 0.0000 2.6055 0.0000
Zn 0.0000 0.0000 2.6055
Zn 2.6055 0.0000 0.0000
La 0.0000 0.0000 0.0000
```

Summary:
magnetic moment = 0.0 μB per formula unit
density = 5.0 g/cm3

Bottom line: #i, by a margin of 1.332 eV/atom.

#i
A plane-wave DFT calculation with GGA-PBE was carried out for a relaxed LaNb3Zn crystal.

extended XYZ file:
```
5
Lattice="-1.0571 -0.0253 -4.7693 -2.8231 -3.9340 0.6466 -3.8441 2.8961 0.8366" Properties=species:S:1:pos:R:3 pbc="T T T"
Nb -1.4115 -1.9670 0.3233
Nb -1.9221 1.4480 0.4183
Nb -0.5285 -0.0127 -2.3847
Zn -3.8621 -0.5316 -1.6430
La 0.0000 0.0000 0.0000
```

Summary:
magnetic moment = 0.0 μB per formula unit
density = 6.9 g/cm3

#ii
A plane-wave DFT calculation with GGA-PBE was carried out for a relaxed LaNb3Zn crystal.

extended XYZ file:
```
5
Lattice="4.9068 0.0000 0.0000 0.0000 4.9068 0.0000 0.0000 0.0000 4.9068" Properties=species:S:1:pos:R:3 pbc="T T T"
Nb 0.0000 2.4534 0.0000
Nb 0.0000 0.0000 2.4534
Nb 2.4534 0.0000 0.0000
Zn 0.0000 0.0000 0.0000
La 2.4534 2.4534 2.4534
```

Summary:
magnetic moment = 0.0 μB per formula unit
density = 6.8 g/cm3

Bottom line: #ii, by a margin of 0.766 eV/atom.

#i
A plane-wave DFT calculation with GGA-PBE was carried out for a relaxed LaNb2Zn2 crystal.

extended XYZ file:
```
5
Lattice="4.3927 0.0000 0.0000 0.0000 4.3927 0.0000 2.1964 2.1964 5.6609" Properties=species:S:1:pos:R:3 pbc="T T T"
Nb 2.1964 2.1964 1.2545
Nb 4.3927 4.3927 4.4064
Zn 4.3927 2.1964 2.8304
Zn 2.1964 4.3927 2.8304
La 0.0000 0.0000 0.0000
```

Summary:
magnetic moment = 0.8 μB per formula unit
density = 6.9 g/cm3

#ii
A plane-wave DFT calculation with GGA-PBE was carried out for a relaxed LaNb2Zn2 crystal.

extended XYZ file:
```
10
Lattice="8.1855 0.0000 0.0000 0.0000 8.1855 0.0000 0.0000 0.0000 2.9696" Properties=species:S:1:pos:R:3 pbc="T T T"
Nb 3.1602 7.2529 0.0000
Nb 7.2529 5.0254 0.0000
Nb 5.0254 0.9326 0.0000
Nb 0.9326 3.1602 0.0000
Zn 1.4546 5.5474 1.4848
Zn 5.5474 6.7309 1.4848
Zn 6.7309 2.6382 1.4848
Zn 2.6382 1.4546 1.4848
La 0.0000 0.0000 0.0000
La 4.0928 4.0928 0.0000
```

Summary:
magnetic moment = 0.0 μB per formula unit
density = 7.6 g/cm3

Bottom line: #ii, by a margin of 0.208 eV/atom.

#i
A plane-wave DFT calculation with GGA-PBE was carried out for a relaxed La2ZrNb crystal.

extended XYZ file:
```
4
Lattice="2.2700 1.1021 4.6677 3.0475 4.3131 0.5155 -1.7037 4.1246 2.8706" Properties=species:S:1:pos:R:3 pbc="T T T"
Nb 1.8069 4.7699 4.0269
Zr 0.0000 0.0000 0.0000
La 0.9034 2.3850 2.0135
La 2.7103 7.1549 6.0404
```

Summary:
magnetic moment = 0.0 μB per formula unit
density = 7.3 g/cm3

#ii
A plane-wave DFT calculation with GGA-PBE was carried out for a relaxed La2ZrNb crystal.

extended XYZ file:
```
8
Lattice="-3.6921 3.2558 6.9181 -7.2839 -3.8336 -2.0832 -4.6445 -2.7711 4.0358" Properties=species:S:1:pos:R:3 pbc="T T T"
Nb 0.0000 0.0000 0.0000
Nb -6.9123 0.0979 6.6857
Zr -5.4880 -0.2889 2.4175
Zr -8.7082 -3.4468 2.1850
La -4.4636 0.9373 5.2305
La -6.0907 -2.7562 0.4136
La -7.4329 -2.2073 4.8876
La -13.2539 -2.6715 7.2098
```

Summary:
magnetic moment = 0.9 μB per formula unit
density = 6.9 g/cm3

Bottom line: #i, by a margin of 0.301 eV/atom.

#i
A plane-wave DFT calculation with GGA-PBE was carried out for a relaxed LaNd crystal.

extended XYZ file:
```
2
Lattice="4.1730 0.0000 0.0000 0.0000 4.1730 0.0000 0.0000 0.0000 4.1730" Properties=species:S:1:pos:R:3 pbc="T T T"
Nd 0.0000 0.0000 0.0000
La 2.0865 2.0865 2.0865
```

Summary:
magnetic moment = 0.0 μB per formula unit
density = 6.5 g/cm3

#ii
A plane-wave DFT calculation with GGA-PBE was carried out for a relaxed LaNd crystal.

extended XYZ file:
```
4
Lattice="-0.7690 -3.4676 0.5746 4.8794 -0.5807 3.0261 -3.0122 3.4631 5.5215" Properties=species:S:1:pos:R:3 pbc="T T T"
Nd 2.6396 -2.8112 3.4584
Nd -1.5414 2.2260 5.6638
La 1.3492 -0.2232 6.0356
La -0.2510 -0.3620 3.0865
```

Summary:
magnetic moment = 0.0 μB per formula unit
density = 6.5 g/cm3

#iii
A plane-wave DFT calculation with GGA-PBE was carried out for a relaxed LaNd crystal.

extended XYZ file:
```
4
Lattice="3.7090 0.0000 0.0000 1.8545 3.2121 0.0000 1.8545 1.0707 12.1389" Properties=species:S:1:pos:R:3 pbc="T T T"
La 3.7090 2.1414 1.5295
La 3.7090 2.1414 10.6094
Nd 1.8545 1.0707 7.5556
Nd 5.5635 3.2121 4.5833
```

Summary:
magnetic moment = 0.0 μB per formula unit
density = 6.5 g/cm3

Bottom line: #iii, by a margin of 0.037 eV/atom.

#i
A plane-wave DFT calculation with GGA-PBE was carried out for a relaxed La4Nd crystal.

extended XYZ file:
```
5
Lattice="3.7158 0.0000 0.0000 0.0000 3.7158 0.0000 -1.8579 -1.8579 13.1542" Properties=species:S:1:pos:R:3 pbc="T T T"
La 1.8579 1.8579 2.6164
La 0.0000 0.0000 5.2402
La 1.8579 1.8579 7.9140
La 0.0000 0.0000 10.5378
Nd 0.0000 0.0000 0.0000
```

Summary:
magnetic moment = 0.0 μB per formula unit
density = 6.4 g/cm3

#ii
A plane-wave DFT calculation with GGA-PBE was carried out for a relaxed La4Nd crystal.

extended XYZ file:
```
5
Lattice="5.9448 0.0000 0.0000 0.0000 5.9448 0.0000 0.0000 0.0000 5.9448" Properties=species:S:1:pos:R:3 pbc="T T T"
Nd 2.9724 2.9724 2.9724
La 0.0000 0.0000 0.0000
La 2.9724 0.0000 2.9724
La 0.0000 2.9724 2.9724
La 2.9724 2.9724 0.0000
```

Summary:
magnetic moment = 1.3 μB per formula unit
density = 5.5 g/cm3

Bottom line: #i, by a margin of 0.493 eV/atom.

#i
A plane-wave DFT calculation with GGA-PBE was carried out for a relaxed LaNd4 crystal.

extended XYZ file:
```
5
Lattice="5.8204 0.0000 0.0000 0.0000 5.8204 0.0000 0.0000 0.0000 5.8204" Properties=species:S:1:pos:R:3 pbc="T T T"
Nd 0.0000 0.0000 0.0000
Nd 2.9102 0.0000 2.9102
Nd 0.0000 2.9102 2.9102
Nd 2.9102 2.9102 0.0000
La 2.9102 2.9102 2.9102
```

Summary:
magnetic moment = 0.0 μB per formula unit
density = 6.0 g/cm3

#ii
A plane-wave DFT calculation with GGA-PBE was carried out for a relaxed LaNd4 crystal.

extended XYZ file:
```
5
Lattice="4.9004 0.0000 1.8295 2.4502 5.8469 0.9147 0.4053 0.0000 6.3924" Properties=species:S:1:pos:R:3 pbc="T T T"
La 0.0000 0.0000 0.0000
Nd 1.6316 1.1771 3.1076
Nd 4.4888 3.5063 2.9322
Nd 6.1243 4.6699 6.0290
Nd 3.2672 2.3407 6.2044
```

Summary:
magnetic moment = 0.0 μB per formula unit
density = 6.6 g/cm3

Bottom line: #ii, by a margin of 0.559 eV/atom.

#i
A plane-wave DFT calculation with GGA-PBE was carried out for a relaxed La5Nd7 crystal.

extended XYZ file:
```
12
Lattice="3.6811 0.0000 0.5805 1.4749 9.4119 2.6090 -0.0907 0.2256 12.5364" Properties=species:S:1:pos:R:3 pbc="T T T"
La 4.2539 7.9641 8.9096
La 0.8114 1.6735 6.8164
La 3.0650 3.4700 4.4872
La 2.0003 6.1676 11.2387
La 0.0000 0.0000 0.0000
Nd 3.7173 9.3005 12.3123
Nd 1.3480 0.3371 3.4136
Nd 1.1037 6.6183 4.9627
Nd 3.9616 3.0193 10.7632
Nd 1.6307 3.3737 13.5820
Nd 2.5326 4.8188 7.8630
Nd 3.4346 6.2639 2.1440
```

Summary:
magnetic moment = 0.0 μB per formula unit
density = 6.5 g/cm3

#ii
A plane-wave DFT calculation with GGA-PBE was carried out for a relaxed La5Nd7 crystal.

extended XYZ file:
```
12
Lattice="-4.7513 -3.7346 -0.3870 5.0532 -1.2592 -2.5074 2.2184 -4.3095 14.3499" Properties=species:S:1:pos:R:3 pbc="T T T"
La 1.6545 -2.6826 5.5753
La 0.8659 -6.6207 5.8802
La 2.4474 -3.2034 0.8657
La 0.0729 -6.0999 10.5898
La 0.0000 0.0000 0.0000
Nd 2.8225 -4.4516 8.3053
Nd -0.3021 -4.8518 3.1502
Nd 0.6689 -1.1505 2.8901
Nd 1.8515 -8.1528 8.5654
Nd -1.2360 -3.3427 0.0535
Nd -1.2664 -4.0220 6.9815
Nd 3.7564 -5.9606 11.4019
```

Summary:
magnetic moment = 0.0 μB per formula unit
density = 6.5 g/cm3

Bottom line: #i, by a margin of 0.137 eV/atom.